Below is an optimized crystal structure of Fe2Pt3Rh5, with properties calculated at the PBE level.

Calculated values
As for the total energy: -69.9 eV/cell.

a = 4.6329 Å, b = 4.6324 Å, c = 9.8529 Å
α = 121.90°, β = 98.63°, γ = 61.01°
With the nearest neighbours (Å) after each atom.
Atoms (fractional coordinates):
Fe: 0.2405 0.1438 0.2513  5 Rh 2.44-2.62, 2 Pt 2.63-2.66
Fe: 0.7595 0.8562 0.7487  5 Rh 2.44-2.62, 2 Pt 2.63-2.66
Pt: 0.5000 0.5000 0.5000  8 Rh 2.62-2.72, 2 Fe 2.63
Pt: 0.8983 0.7373 0.1692  3 Fe 2.66-2.91, 6 Rh 2.69-2.93, 1 Pt 2.83
Pt: 0.1017 0.2627 0.8308  3 Fe 2.66-2.91, 6 Rh 2.69-2.93, 1 Pt 2.83
Rh: 0.0000 0.0000 0.0000  2 Fe 2.44, 2 Rh 2.53, 4 Pt 2.71-2.72
Rh: 0.1633 0.1843 0.5203  2 Fe 2.54-2.62, 5 Rh 2.64-2.79, 3 Pt 2.67-2.72
Rh: 0.8367 0.8157 0.4797  2 Fe 2.54-2.62, 5 Rh 2.64-2.79, 3 Pt 2.67-2.72
Rh: 0.5291 0.4910 0.2340  3 Rh 2.53-2.78, 2 Fe 2.56-2.62, 4 Pt 2.62-2.78
Rh: 0.4709 0.5090 0.7660  3 Rh 2.53-2.78, 2 Fe 2.56-2.62, 4 Pt 2.62-2.78